## AcTbRuRh (PBE)

Data for AcTbRuRh after structural relaxation.

Properties
Its space group is No. 216. As for the energy of formation from the pure elements: -347 meV per atom.

The structure in POSCAR format:
```
AcTbRuRh
1.0
7.1247 0.0000 0.0000
0.0000 7.1247 0.0000
0.0000 0.0000 7.1247
Ac Tb Ru Rh
4 4 4 4
Direct
0.0000 0.0000 0.0000
0.0000 0.5000 0.5000
0.5000 0.0000 0.5000
0.5000 0.5000 0.0000
0.0000 0.0000 0.5000
0.0000 0.5000 0.0000
0.5000 0.0000 0.0000
0.5000 0.5000 0.5000
0.2500 0.2500 0.7500
0.2500 0.7500 0.2500
0.7500 0.2500 0.2500
0.7500 0.7500 0.7500
0.2500 0.2500 0.2500
0.2500 0.7500 0.7500
0.7500 0.2500 0.7500
0.7500 0.7500 0.2500
```